Here is a relaxed structure of Mn2ZnF from Alexandria via LeMat-Bulk. Energies are from PBE with a Hubbard U.

a b c (Å): 5.662 5.662 5.662
angles (deg): 109.61 109.61 109.19
Atoms (fractional coordinates):
1 Mn 0.071 0.625 0.946
2 Mn 0.375 0.321 0.446
3 Mn 0.679 0.125 0.054
4 Mn 0.875 0.929 0.554
5 Zn 0.250 0.750 0.500
6 Zn 0.500 0.500 0.000
7 F 0.000 0.000 0.000
8 F 0.750 0.250 0.500

- energy above the most stable polymorph in this dataset (meV per atom) = 0.0